# ZrSb2Pt2

A relaxed ZrSb2Pt2 crystal (PBE-GGA, Alexandria via LeMat-Bulk).

abc: 7.340 7.340 3.836
angles: 90.00 90.00 90.00
Fractional positions:
Pt: 0.628 0.128 0.000
Pt: 0.372 0.872 0.000
Pt: 0.872 0.628 0.000
Pt: 0.128 0.372 0.000
Zr: 0.500 0.500 0.000
Zr: 0.000 0.000 0.000
Sb: 0.681 0.819 0.500
Sb: 0.819 0.319 0.500
Sb: 0.319 0.181 0.500
Sb: 0.181 0.681 0.500

Computed properties:
The density of states at the Fermi level is 3.78 states/eV per cell. For the energy, the calculation gives -62.4 eV per cell.